1.
# MnFeCo2

MnFeCo2 after structural relaxation (GGA-PBEsol, Alexandria via LeMat-Bulk).

Summary:
Volume in Å³/f.u.: 40.9
Magnetization in Bohr magnetons per cell: 2.693
Formation energy from the elements in eV/atom: 0.07

abc: 2.426 2.426 6.944
angles: 90.00 90.00 90.00
Last column: magnetic moment on the atom in μB.
Fractional positions:
Co: 0.000 0.000 0.999  0.84
Co: 0.500 0.500 0.248  1.28
Fe: 0.000 0.000 0.502  1.55
Mn: 0.500 0.500 0.751  -0.95

***

2.
# MnFeCo2

MnFeCo2 after structural relaxation (GGA-PBEsol, Alexandria via LeMat-Bulk).

Summary:
Volume in Å³/f.u.: 41.6
Magnetization in Bohr magnetons per cell: 1.484
Formation energy from the elements in eV/atom: 0.02

abc: 3.458 3.458 4.254
angles: 113.99 113.99 89.98
Last column: magnetic moment on the atom in μB.
Fractional positions:
Fe: 0.500 0.500 0.000  2.04
Mn: 0.250 0.750 0.500  -2.23
Co: 0.750 0.250 0.500  0.86
Co: 0.000 0.000 0.000  0.87

***

3.
# MnFeCoTc2

MnFeCoTc2 after structural relaxation (GGA-PBEsol, Alexandria via LeMat-Bulk).

Summary:
Volume in Å³/f.u.: 74.8
Magnetization in Bohr magnetons per cell: 3.827
Formation energy from the elements in eV/atom: 1.41

abc: 4.083 4.281 4.281
angles: 90.00 90.00 90.00
Last column: magnetic moment on the atom in μB.
Fractional positions:
Mn: 0.000 0.000 0.000  0.06
Fe: 0.500 0.500 0.500  3.04
Co: 0.500 0.000 0.000  0.74
Tc: 0.000 0.500 0.000  -0.01
Tc: 0.000 0.000 0.500  -0.01

***

4.
# FeCo4Mo

FeCo4Mo after structural relaxation (GGA-PBEsol, Alexandria via LeMat-Bulk).

Summary:
Volume in Å³/f.u.: 66.8
Magnetization in Bohr magnetons per cell: 5.268
Formation energy from the elements in eV/atom: 0.06

abc: 4.555 4.555 4.555
angles: 60.00 60.00 60.00
Last column: magnetic moment on the atom in μB.
Fractional positions:
Fe: 0.750 0.750 0.750  2.49
Mo: 0.000 0.000 0.000  -0.55
Co: 0.375 0.375 0.874  0.83
Co: 0.375 0.375 0.375  0.83
Co: 0.375 0.874 0.375  0.83
Co: 0.874 0.375 0.375  0.83

***

| no. | ρ (kg/m3) |
| --- | --- |
| 1 | 9292 |
| 2 | 9121 |
| 3 | 8114 |
| 4 | 9627 |